1 | Material: Tb4Zn5Ge6
Method: DFT, PBE
State: relaxed

Cell lengths 9.553, 9.553, 15.376 Å; angles 90.00, 90.00, 154.25 degrees
Atoms (fractional coordinates):
Tb 0.020 0.980 0.500
Tb 0.032 0.968 0.763
Tb 0.168 0.832 0.304
Tb 0.176 0.824 0.945
Tb 0.824 0.176 0.445
Tb 0.832 0.168 0.804
Tb 0.968 0.032 0.263
Tb 0.980 0.020 0.000
Zn 0.151 0.849 0.627
Zn 0.300 0.700 0.625
Zn 0.345 0.655 0.275
Zn 0.350 0.650 0.981
Zn 0.434 0.566 0.686
Zn 0.566 0.434 0.186
Zn 0.650 0.350 0.481
Zn 0.655 0.345 0.775
Zn 0.700 0.300 0.125
Zn 0.849 0.151 0.127
Ge 0.112 0.888 0.118
Ge 0.222 0.778 0.487
Ge 0.227 0.773 0.765
Ge 0.431 0.569 0.408
Ge 0.433 0.567 0.130
Ge 0.440 0.560 0.855
Ge 0.560 0.440 0.355
Ge 0.567 0.433 0.630
Ge 0.569 0.431 0.908
Ge 0.773 0.227 0.265
Ge 0.778 0.222 0.987
Ge 0.888 0.112 0.618

Calculated values
N(E_F): 0.10 states/eV/atom
symmetry: Cmc2_1 (36)

2 | Material: Tb4Zn5Ge6
Method: DFT, PBE
State: relaxed

Cell lengths 9.417, 9.417, 15.831 Å; angles 90.00, 90.00, 153.67 degrees
Atoms (fractional coordinates):
Tb 0.030 0.970 0.500
Tb 0.034 0.966 0.230
Tb 0.174 0.826 0.045
Tb 0.178 0.822 0.688
Tb 0.822 0.178 0.188
Tb 0.826 0.174 0.545
Tb 0.966 0.034 0.730
Tb 0.970 0.030 0.000
Zn 0.146 0.854 0.362
Zn 0.291 0.709 0.358
Zn 0.347 0.653 0.005
Zn 0.426 0.574 0.285
Zn 0.427 0.573 0.449
Zn 0.573 0.427 0.949
Zn 0.574 0.426 0.785
Zn 0.653 0.347 0.505
Zn 0.709 0.291 0.858
Zn 0.854 0.146 0.862
Ge 0.117 0.883 0.866
Ge 0.211 0.789 0.224
Ge 0.221 0.779 0.501
Ge 0.426 0.574 0.608
Ge 0.434 0.566 0.129
Ge 0.442 0.558 0.867
Ge 0.558 0.442 0.367
Ge 0.566 0.434 0.629
Ge 0.574 0.426 0.108
Ge 0.779 0.221 0.001
Ge 0.789 0.211 0.724
Ge 0.883 0.117 0.366

Calculated values
N(E_F): 0.31 states/eV/atom
symmetry: Cmc2_1 (36)

Stability order, top to bottom: 1, 2

1 | Material: Tb3Zn2Ge3
Method: DFT, PBE
State: relaxed

Cell lengths 5.826, 5.826, 14.948 Å; angles 90.00, 90.00, 137.52 degrees
Atoms (fractional coordinates):
Tb 0.078 0.922 0.750
Tb 0.368 0.632 0.601
Tb 0.368 0.632 0.899
Tb 0.632 0.368 0.101
Tb 0.632 0.368 0.399
Tb 0.922 0.078 0.250
Zn 0.349 0.651 0.122
Zn 0.349 0.651 0.378
Zn 0.651 0.349 0.622
Zn 0.651 0.349 0.878
Ge 0.093 0.907 0.549
Ge 0.093 0.907 0.951
Ge 0.194 0.806 0.250
Ge 0.806 0.194 0.750
Ge 0.907 0.093 0.049
Ge 0.907 0.093 0.451

Calculated values
N(E_F): 0.68 states/eV/atom
symmetry: Cmcm (63)

2 | Material: Tb3Zn2Ge3
Method: DFT, PBE
State: relaxed

Cell lengths 5.911, 5.911, 14.370 Å; angles 90.00, 90.00, 138.13 degrees
Atoms (fractional coordinates):
Tb 0.070 0.930 0.614
Tb 0.070 0.930 0.886
Tb 0.355 0.645 0.750
Tb 0.645 0.355 0.250
Tb 0.930 0.070 0.114
Tb 0.930 0.070 0.386
Zn 0.226 0.774 0.098
Zn 0.226 0.774 0.402
Zn 0.774 0.226 0.598
Zn 0.774 0.226 0.902
Ge 0.360 0.640 0.250
Ge 0.383 0.617 0.543
Ge 0.383 0.617 0.957
Ge 0.617 0.383 0.043
Ge 0.617 0.383 0.457
Ge 0.640 0.360 0.750

Calculated values
N(E_F): 0.59 states/eV/atom
symmetry: Cmcm (63)

Stability order, top to bottom: 2, 1

1 | Material: TcGe3
Method: DFT, PBE
State: relaxed

Cell lengths 3.359, 9.120, 8.572 Å; angles 90.00, 90.00, 90.00 degrees
Atoms (fractional coordinates):
Tc 0.000 0.227 0.250
Tc 0.000 0.773 0.750
Tc 0.500 0.273 0.750
Tc 0.500 0.727 0.250
Ge 0.000 0.061 0.750
Ge 0.000 0.364 0.530
Ge 0.000 0.364 0.970
Ge 0.000 0.636 0.030
Ge 0.000 0.636 0.470
Ge 0.000 0.939 0.250
Ge 0.500 0.136 0.030
Ge 0.500 0.136 0.470
Ge 0.500 0.439 0.250
Ge 0.500 0.561 0.750
Ge 0.500 0.864 0.530
Ge 0.500 0.864 0.970

Calculated values
N(E_F): 0.38 states/eV/atom
symmetry: Cmcm (63)

2 | Material: TcGe3
Method: DFT, PBE
State: relaxed

Cell lengths 4.061, 4.061, 7.851 Å; angles 90.00, 90.00, 90.00 degrees
Atoms (fractional coordinates):
Tc 0.000 0.000 0.000
Tc 0.500 0.500 0.500
Ge 0.000 0.000 0.500
Ge 0.000 0.500 0.250
Ge 0.000 0.500 0.750
Ge 0.500 0.000 0.250
Ge 0.500 0.000 0.750
Ge 0.500 0.500 0.000

Calculated values
N(E_F): 0.85 states/eV/atom
symmetry: I4/mmm (139)

Stability order, top to bottom: 1, 2

1 | Material: Tc2GeTe
Method: DFT, PBE
State: relaxed

Cell lengths 6.348, 6.348, 6.348 Å; angles 90.00, 90.00, 90.00 degrees
Atoms (fractional coordinates):
Tc 0.250 0.250 0.250
Tc 0.250 0.250 0.750
Tc 0.250 0.750 0.250
Tc 0.250 0.750 0.750
Tc 0.750 0.250 0.250
Tc 0.750 0.250 0.750
Tc 0.750 0.750 0.250
Tc 0.750 0.750 0.750
Ge 0.000 0.000 0.000
Ge 0.000 0.500 0.500
Ge 0.500 0.000 0.500
Ge 0.500 0.500 0.000
Te 0.000 0.000 0.500
Te 0.000 0.500 0.000
Te 0.500 0.000 0.000
Te 0.500 0.500 0.500

Calculated values
N(E_F): 0.52 states/eV/atom
symmetry: Fm-3m (225)

2 | Material: Tc2GeTe
Method: DFT, PBE
State: relaxed

Cell lengths 5.784, 5.784, 11.402 Å; angles 90.00, 90.00, 90.00 degrees
Atoms (fractional coordinates):
Tc 0.229 0.250 0.125
Tc 0.250 0.729 0.375
Tc 0.250 0.771 0.875
Tc 0.271 0.250 0.625
Tc 0.729 0.750 0.625
Tc 0.750 0.229 0.875
Tc 0.750 0.271 0.375
Tc 0.771 0.750 0.125
Ge 0.000 0.000 0.000
Ge 0.000 0.500 0.250
Ge 0.500 0.000 0.750
Ge 0.500 0.500 0.500
Te 0.000 0.000 0.500
Te 0.000 0.500 0.750
Te 0.500 0.000 0.250
Te 0.500 0.500 0.000

Calculated values
N(E_F): 0.08 states/eV/atom
symmetry: I-42d (122)

Stability order, top to bottom: 1, 2

1 | Material: ThTcGe3
Method: DFT, PBE
State: relaxed

Cell lengths 6.255, 5.752, 5.838 Å; angles 90.00, 90.00, 90.00 degrees
Atoms (fractional coordinates):
Th 0.000 0.153 0.000
Th 0.500 0.847 0.500
Tc 0.000 0.613 0.264
Tc 0.500 0.387 0.764
Ge 0.000 0.917 0.542
Ge 0.231 0.326 0.466
Ge 0.269 0.674 0.966
Ge 0.500 0.083 0.042
Ge 0.731 0.674 0.966
Ge 0.769 0.326 0.466

Calculated values
N(E_F): 0.70 states/eV/atom
symmetry: Pmn2_1 (31)

2 | Material: ThTcGe3
Method: DFT, PBE
State: relaxed

Cell lengths 6.259, 6.259, 6.045 Å; angles 90.00, 121.02, 90.00 degrees
Atoms (fractional coordinates):
Th 0.000 0.000 0.000
Th 0.500 0.500 0.000
Tc 0.331 0.000 0.663
Tc 0.831 0.500 0.663
Ge 0.062 0.500 0.123
Ge 0.480 0.250 0.460
Ge 0.480 0.750 0.460
Ge 0.562 0.000 0.123
Ge 0.980 0.250 0.460
Ge 0.980 0.750 0.460

Calculated values
N(E_F): 0.58 states/eV/atom
symmetry: Cm (8)

Stability order, top to bottom: 2, 1

1 | Material: ThTc2Ge2
Method: DFT, PBE
State: relaxed

Cell lengths 4.292, 4.292, 10.288 Å; angles 90.00, 90.00, 90.00 degrees
Atoms (fractional coordinates):
Th 0.000 0.000 0.000
Th 0.500 0.500 0.500
Tc 0.000 0.500 0.250
Tc 0.000 0.500 0.750
Tc 0.500 0.000 0.250
Tc 0.500 0.000 0.750
Ge 0.000 0.000 0.373
Ge 0.000 0.000 0.627
Ge 0.500 0.500 0.127
Ge 0.500 0.500 0.873

Calculated values
N(E_F): 0.85 states/eV/atom
symmetry: I4/mmm (139)

2 | Material: ThTc2Ge2
Method: DFT, PBE
State: relaxed

Cell lengths 11.116, 11.116, 11.116 Å; angles 158.16, 158.12, 31.12 degrees
Atoms (fractional coordinates):
Th 0.409 0.159 0.250
Th 0.591 0.841 0.750
Tc 0.214 0.964 0.250
Tc 0.289 0.539 0.750
Tc 0.711 0.461 0.250
Tc 0.786 0.036 0.750
Ge 0.030 0.280 0.750
Ge 0.147 0.397 0.750
Ge 0.853 0.603 0.250
Ge 0.970 0.720 0.250

Calculated values
N(E_F): 0.55 states/eV/atom
symmetry: Imma (74)

Stability order, top to bottom: 2, 1